# 1
Computed, not measured: a geometry-optimized AcPmEuHg structure at the PBE level of DFT.

Symmetry: F-43m
Magnetization: 8.49 μB per cell
ΔH_f (0 K): 0.019 eV per atom
E: -19.360 eV per cell

abc: 5.7259 5.7259 5.7259
angles: 60.00 60.00 60.00
Last column: nearest neighbours and their distance in Å.
Element x y z (fractional)
Eu 0.0000 0.0000 0.0000  4 Hg 3.51, 4 Ac 3.51
Ac 0.7500 0.7500 0.7500  4 Pm 3.51, 4 Eu 3.51
Hg 0.2500 0.2500 0.2500  4 Pm 3.51, 4 Eu 3.51
Pm 0.5000 0.5000 0.5000  4 Hg 3.51, 4 Ac 3.51

=====

# 2
Computed, not measured: a geometry-optimized AcPrEuHg structure at the PBE level of DFT.

Symmetry: F-43m
Magnetization: 8.50 μB per cell
ΔH_f (0 K): 0.008 eV per atom
E: -19.432 eV per cell

abc: 5.7587 5.7587 5.7587
angles: 60.00 60.00 60.00
Last column: nearest neighbours and their distance in Å.
Element x y z (fractional)
Eu 0.0000 0.0000 0.0000  4 Ac 3.53, 4 Hg 3.53
Pr 0.5000 0.5000 0.5000  4 Hg 3.53, 4 Ac 3.53
Ac 0.7500 0.7500 0.7500  4 Eu 3.53, 4 Pr 3.53
Hg 0.2500 0.2500 0.2500  4 Pr 3.53, 4 Eu 3.53

=====

# 3
Computed, not measured: a geometry-optimized AcEuHgRh structure at the PBE level of DFT.

Symmetry: F-43m
Magnetization: 7.01 μB per cell
ΔH_f (0 K): -0.434 eV per atom
E: -23.772 eV per cell

abc: 5.3643 5.3643 5.3643
angles: 60.00 60.00 60.00
Last column: nearest neighbours and their distance in Å.
Element x y z (fractional)
Eu 0.2500 0.2500 0.2500  4 Hg 3.28, 4 Rh 3.28
Ac 0.7500 0.7500 0.7500  4 Rh 3.28, 4 Hg 3.28
Rh 0.0000 0.0000 0.0000  4 Eu 3.28, 4 Ac 3.28
Hg 0.5000 0.5000 0.5000  4 Ac 3.28, 4 Eu 3.28

=====

# 4
Computed, not measured: a geometry-optimized AcEuScHg structure at the PBE level of DFT.

Symmetry: F-43m
Magnetization: 9.26 μB per cell
ΔH_f (0 K): 0.057 eV per atom
E: -20.787 eV per cell

abc: 5.5302 5.5302 5.5302
angles: 60.00 60.00 60.00
Last column: nearest neighbours and their distance in Å.
Element x y z (fractional)
Eu 0.2500 0.2500 0.2500  4 Hg 3.39, 4 Ac 3.39
Sc 0.7500 0.7500 0.7500  4 Hg 3.39, 4 Ac 3.39
Ac 0.5000 0.5000 0.5000  4 Eu 3.39, 4 Sc 3.39
Hg 0.0000 0.0000 0.0000  4 Sc 3.39, 4 Eu 3.39

=====

# 5
Computed, not measured: a geometry-optimized AcSmEuHg structure at the PBE level of DFT.

Symmetry: F-43m
Magnetization: 8.45 μB per cell
ΔH_f (0 K): 0.025 eV per atom
E: -19.305 eV per cell

abc: 5.7161 5.7161 5.7161
angles: 60.00 60.00 60.00
Last column: nearest neighbours and their distance in Å.
Element x y z (fractional)
Eu 0.2500 0.2500 0.2500  4 Hg 3.50, 4 Ac 3.50
Ac 0.0000 0.0000 0.0000  4 Eu 3.50, 4 Sm 3.50
Hg 0.5000 0.5000 0.5000  4 Sm 3.50, 4 Eu 3.50
Sm 0.7500 0.7500 0.7500  4 Hg 3.50, 4 Ac 3.50

=====

# 6
Computed, not measured: a geometry-optimized AcTbEuHg structure at the PBE level of DFT.

Symmetry: F-43m
Magnetization: 7.93 μB per cell
ΔH_f (0 K): 0.040 eV per atom
E: -19.157 eV per cell

abc: 5.6975 5.6975 5.6975
angles: 60.00 60.00 60.00
Last column: nearest neighbours and their distance in Å.
Element x y z (fractional)
Eu 0.2500 0.2500 0.2500  4 Hg 3.49, 4 Ac 3.49
Ac 0.5000 0.5000 0.5000  4 Tb 3.49, 4 Eu 3.49
Tb 0.7500 0.7500 0.7500  4 Hg 3.49, 4 Ac 3.49
Hg 0.0000 0.0000 0.0000  4 Eu 3.49, 4 Tb 3.49

=====

# 7
Computed, not measured: a geometry-optimized AcEuZnHg structure at the PBE level of DFT.

Symmetry: F-43m
Magnetization: 6.98 μB per cell
ΔH_f (0 K): -0.395 eV per atom
E: -17.537 eV per cell

abc: 5.5401 5.5401 5.5401
angles: 60.00 60.00 60.00
Last column: nearest neighbours and their distance in Å.
Element x y z (fractional)
Eu 0.7500 0.7500 0.7500  4 Zn 3.39, 4 Hg 3.39
Zn 0.0000 0.0000 0.0000  4 Eu 3.39, 4 Ac 3.39
Ac 0.2500 0.2500 0.2500  4 Hg 3.39, 4 Zn 3.39
Hg 0.5000 0.5000 0.5000  4 Ac 3.39, 4 Eu 3.39

=====

# 8
Computed, not measured: a geometry-optimized Ac2EuHo structure at the PBE level of DFT.

Symmetry: P4/mmm
Magnetization: 7.60 μB per cell
ΔH_f (0 K): 0.075 eV per atom
E: -22.769 eV per cell

abc: 5.1988 5.5425 5.5425
angles: 90.00 90.00 90.00
Last column: nearest neighbours and their distance in Å.
Element x y z (fractional)
Eu 0.5000 0.5000 0.5000  8 Ac 3.80, 4 Ho 3.92
Ac 0.0000 0.0000 0.5000  4 Ho 3.80, 4 Eu 3.80, 4 Ac 3.92
Ac 0.0000 0.5000 0.0000  4 Ho 3.80, 4 Eu 3.80, 4 Ac 3.92
Ho 0.5000 0.0000 0.0000  8 Ac 3.80, 4 Eu 3.92

=====

# 9
Computed, not measured: a geometry-optimized AcEu2Ho structure at the PBE level of DFT.

Symmetry: P4/mmm
Magnetization: 15.25 μB per cell
ΔH_f (0 K): 0.096 eV per atom
E: -28.850 eV per cell

abc: 3.8084 3.8084 10.7780
angles: 90.00 90.00 90.00
Last column: nearest neighbours and their distance in Å.
Element x y z (fractional)
Eu 0.0000 0.0000 0.7656  4 Ho 3.69, 4 Eu 3.81, 4 Ac 3.93
Eu 0.0000 0.0000 0.2344  4 Ho 3.69, 4 Eu 3.81, 4 Ac 3.93
Ac 0.5000 0.5000 0.5000  4 Ac 3.81, 8 Eu 3.93
Ho 0.5000 0.5000 0.0000  8 Eu 3.69, 4 Ho 3.81

=====

# 10
Computed, not measured: a geometry-optimized Ac4EuHo structure at the PBE level of DFT.

Symmetry: F-43m
Magnetization: 7.29 μB per cell
ΔH_f (0 K): 0.309 eV per atom
E: -29.432 eV per cell

abc: 7.2657 7.2657 7.2657
angles: 60.00 60.00 60.00
Last column: nearest neighbours and their distance in Å.
Element x y z (fractional)
Eu 0.2500 0.2500 0.2500  12 Ac 4.26, 4 Ho 4.45
Ac 0.6263 0.6263 0.1212  6 Ac 3.60-3.67
Ac 0.6263 0.1212 0.6263  6 Ac 3.60-3.67
Ac 0.6263 0.6263 0.6263  6 Ac 3.60-3.67
Ac 0.1212 0.6263 0.6263  6 Ac 3.60-3.67
Ho 0.0000 0.0000 0.0000  12 Ac 4.26, 4 Eu 4.45

=====

# 11
Computed, not measured: a geometry-optimized Ac2EuHo structure at the PBE level of DFT.

Symmetry: P4/mmm
Magnetization: 7.28 μB per cell
ΔH_f (0 K): 0.039 eV per atom
E: -22.913 eV per cell

abc: 3.9258 3.9258 10.5039
angles: 90.00 90.00 90.00
Last column: nearest neighbours and their distance in Å.
Element x y z (fractional)
Eu 0.5000 0.5000 0.5000  4 Eu 3.93, 8 Ac 3.93
Ac 0.0000 0.0000 0.7655  4 Ho 3.71, 4 Ac 3.93, 4 Eu 3.93
Ac 0.0000 0.0000 0.2345  4 Ho 3.71, 4 Ac 3.93, 4 Eu 3.93
Ho 0.5000 0.5000 0.0000  8 Ac 3.71, 4 Ho 3.93

=====

# 12
Computed, not measured: a geometry-optimized AcEu2Ho structure at the PBE level of DFT.

Symmetry: Fm-3m
Magnetization: 14.57 μB per cell
ΔH_f (0 K): 0.133 eV per atom
E: -28.705 eV per cell

abc: 6.0507 6.0507 6.0507
angles: 60.00 60.00 60.00
Last column: nearest neighbours and their distance in Å.
Element x y z (fractional)
Eu 0.2500 0.2500 0.2500  4 Ho 3.71, 4 Ac 3.71
Eu 0.7500 0.7500 0.7500  4 Ac 3.71, 4 Ho 3.71
Ac 0.5000 0.5000 0.5000  8 Eu 3.71
Ho 0.0000 0.0000 0.0000  8 Eu 3.71